A relaxed structure of HoMgSn2O6. Source: Alexandria, functional GGA-PBE.

Structure (POSCAR):
```
HoMgSn2O6
1.0
8.1103 0.0000 0.0000
0.0000 5.7571 0.0000
0.0000 0.0000 5.5052
Ho Mg Sn O
2 2 4 12
Cartesian
0.0000 1.0518 0.0000
4.0551 4.7053 2.7526
0.0000 4.1774 2.6767
4.0551 1.5797 5.4293
2.0229 1.4989 2.6690
2.0323 4.2582 5.4215
6.0780 4.2582 5.4215
6.0874 1.4989 2.6690
0.0000 1.9545 3.4055
0.0000 4.7121 4.6267
1.4112 5.3938 1.6484
1.4958 2.4432 0.8408
2.5593 3.3139 3.5934
2.6439 0.3633 4.4010
4.0551 1.0450 1.8741
4.0551 3.8025 0.6529
5.4664 0.3633 4.4010
5.5510 3.3139 3.5934
6.6145 2.4432 0.8408
6.6991 5.3938 1.6484
```

Summary:
total magnetic moment: 0.00 μB/f.u.
density of states at the Fermi level: 0.15 states/eV per atom
raw total energy: -6.54 eV/atom
ΔE_f (raw): -2149 meV/atom